Density functional theory data (GGA-PBEsol) for a relaxed structure of CaCr2Mo.

As for the formation energy: 0.658 eV/atom. As for the theoretical density: 5.670 g/cm³. The final energy comes out at -7.939 eV/atom. The calculation puts the excess energy over the best structure of this formula in the dataset at 27 meV per atom.

It has space group P4mm (No. 99), with a = 3.220 Å, b = 3.220 Å, c = 6.781 Å, α = 90.00°, β = 90.00° and γ = 90.00°. Symmetry generates all atoms from Ca at (0.000, 0.000, 0.000), Cr at (0.000, 0.000, 0.477), Cr at (0.500, 0.500, 0.338) and Mo at (0.500, 0.500, 0.651).

Density functional theory data (GGA-PBEsol) for a relaxed structure of Hf2MnB2.

As for the formation energy: -0.704 eV/atom. As for the theoretical density: 11.975 g/cm³. The final energy comes out at -9.664 eV/atom.

It has space group P4/mbm (No. 127), with a = 6.013 Å, b = 6.013 Å, c = 3.326 Å, α = 90.00°, β = 90.00° and γ = 90.00°. Symmetry generates all atoms from Hf at (0.184, 0.316, 0.000), Mn at (0.000, 0.000, 0.500) and B at (0.107, 0.607, 0.500).

Density functional theory data (GGA-PBEsol) for a relaxed structure of ScNbTe2N.

As for the energy relative to the elements, uncorrected: 10.02 kcal/mol of atoms. As for the theoretical density: 5.896 g/cm³. The final energy comes out at -6.167 eV/atom.

It has space group P4/mmm (No. 123), with a = 5.502 Å, b = 5.502 Å, c = 3.787 Å, α = 90.00°, β = 90.00° and γ = 90.00°. Symmetry generates all atoms from Sc at (0.000, 0.000, 0.000), Nb at (0.500, 0.500, 0.500), Te at (0.000, 0.500, 0.000) and N at (0.000, 0.000, 0.500).

Density functional theory data (GGA-PBEsol) for a relaxed structure of CuTeN2F.

As for the energy relative to the elements, uncorrected: 15.55 kcal/mol of atoms. As for the theoretical density: 7.044 g/cm³. The final energy comes out at -4.694 eV/atom.

It has space group P4/mmm (No. 123), with a = 3.884 Å, b = 3.884 Å, c = 3.722 Å, α = 90.00°, β = 90.00° and γ = 90.00°. Symmetry generates all atoms from Cu at (0.000, 0.000, 0.000), Te at (0.500, 0.500, 0.500), N at (0.000, 0.500, 0.000) and F at (0.000, 0.000, 0.500).

Density functional theory data (GGA-PBEsol) for a relaxed structure of CaRe2Se.

As for the energy relative to the elements, uncorrected: 18.24 kcal/mol of atoms. As for the theoretical density: 11.564 g/cm³. The final energy comes out at -7.371 eV/atom.

It has space group P4/mmm (No. 123), with a = 3.022 Å, b = 3.022 Å, c = 7.726 Å, α = 90.00°, β = 90.00° and γ = 90.00°. Symmetry generates all atoms from Ca at (0.000, 0.000, 0.000), Re at (0.500, 0.500, 0.310) and Se at (0.000, 0.000, 0.500).

Density functional theory data (GGA-PBEsol) for a relaxed structure of Hf2GaSb3.

As for the energy relative to the elements, uncorrected: -11.97 kcal/mol of atoms. As for the theoretical density: 10.193 g/cm³. The final energy comes out at -6.856 eV/atom.

It has space group P-4m2 (No. 115), with a = 3.878 Å, b = 3.878 Å, c = 8.579 Å, α = 90.00°, β = 90.00° and γ = 90.00°. Symmetry generates all atoms from Hf at (0.000, 0.500, 0.240), Ga at (0.000, 0.000, 0.500), Sb at (0.000, 0.500, 0.885) and Sb at (0.500, 0.500, 0.500).

Density functional theory data (GGA-PBEsol) for a relaxed structure of AlCr2Ru.

As for the formation energy: -0.107 eV/atom. As for the theoretical density: 7.688 g/cm³. The final energy comes out at -8.794 eV/atom.

It has space group F-43m (No. 216), with a = 5.853 Å, b = 5.853 Å, c = 5.853 Å, α = 90.00°, β = 90.00° and γ = 90.00°. Symmetry generates all atoms from Al at (0.000, 0.000, 0.000), Cr at (0.000, 0.000, 0.500), Cr at (0.250, 0.250, 0.250) and Ru at (0.250, 0.250, 0.750).

Density functional theory data (GGA-PBEsol) for a relaxed structure of LiZrTc2.

As for the formation energy: 0.199 eV/atom. As for the theoretical density: 8.003 g/cm³. The final energy comes out at -8.198 eV/atom.

It has space group C2/m (No. 12), with a = 9.360 Å, b = 3.210 Å, c = 4.357 Å, α = 90.00°, β = 111.20° and γ = 90.00°. Symmetry generates all atoms from Li at (0.000, 0.000, 0.000), Zr at (0.000, 0.500, 0.500) and Tc at (0.249, 0.000, 0.771).

Density functional theory data (GGA-PBEsol) for a relaxed structure of AgSe.

As for the energy relative to the elements, uncorrected: 1.30 kcal/mol of atoms. As for the theoretical density: 6.453 g/cm³. The final energy comes out at -3.524 eV/atom.

It has space group R-3m (No. 166, hexagonal axes), with a = 4.3545 Å, b = 4.3545 Å, c = 17.5663 Å, α = 90.00°, β = 90.00° and γ = 120.00°. Symmetry generates all atoms from Ag at (0.0000, 0.0000, 0.2327) and Se at (0.0000, 0.0000, 0.0730).

Density functional theory data (GGA-PBEsol) for a relaxed structure of K3BaLi.

As for the formation energy: 0.668 eV/atom. As for the theoretical density: 0.911 g/cm³. The final energy comes out at -0.835 eV/atom.

It has space group Pm-3m (No. 221), with a = 7.812 Å, b = 7.812 Å, c = 7.812 Å, α = 90.00°, β = 90.00° and γ = 90.00°. Symmetry generates all atoms from K at (0.000, 0.000, 0.500), Ba at (0.000, 0.000, 0.000) and Li at (0.500, 0.500, 0.500).

Density functional theory data (GGA-PBEsol) for a relaxed structure of MgScSb2.

As for the energy relative to the elements, uncorrected: -11.88 kcal/mol of atoms. As for the theoretical density: 5.149 g/cm³. The final energy comes out at -4.874 eV/atom.

It has space group R-3m (No. 166, hexagonal axes), with a = 4.0808 Å, b = 4.0808 Å, c = 20.9805 Å, α = 90.00°, β = 90.00° and γ = 120.00°. Symmetry generates all atoms from Mg at (0.0000, 0.0000, 0.0000), Sc at (0.0000, 0.0000, 0.5000) and Sb at (0.0000, 0.0000, 0.2484).

Density functional theory data (GGA-PBEsol) for a relaxed structure of SiIrSeN2.

As for the energy relative to the elements, uncorrected: 18.50 kcal/mol of atoms. As for the theoretical density: 6.486 g/cm³. The final energy comes out at -6.492 eV/atom.

It has space group P4/mmm (No. 123), with a = 3.406 Å, b = 3.406 Å, c = 7.223 Å, α = 90.00°, β = 90.00° and γ = 90.00°. Symmetry generates all atoms from Si at (0.000, 0.000, 0.000), Ir at (0.500, 0.500, 0.500), Se at (0.000, 0.000, 0.500) and N at (0.000, 0.500, 0.000).